# K3In2Bi4 PBE optimized geometry
data_K3In2Bi4
_symmetry_space_group_name_H-M 'P -1'
_symmetry_Int_Tables_number 2
_symmetry_space_group_name_Hall '-P 1'
_cell_length_a 4.946
_cell_length_b 7.586
_cell_length_c 10.270
_cell_angle_alpha 106.43
_cell_angle_beta 90.06
_cell_angle_gamma 109.01
loop_
_atom_site_label
_atom_site_type_symbol
_atom_site_fract_x
_atom_site_fract_y
_atom_site_fract_z
K1 K 0.000 0.000 0.000
K2 K 0.391 0.783 0.310
In1 In 0.290 0.579 0.643
Bi1 Bi 0.098 0.197 0.400
Bi2 Bi 0.295 0.590 0.946
# **Distance to the lowest polymorph of the same formula**: 0.000 eV per formula unit
# **Energy relative to the elements**: -0.27 eV per atom
# **Calculated total energy**: -2.97 eV/atom
# **Size of the total moment**: 0.000 μB/atom

# KIn3Bi3 PBE optimized geometry
data_KIn3Bi3
_symmetry_space_group_name_H-M 'P 63/m'
_symmetry_Int_Tables_number 176
_symmetry_space_group_name_Hall '-P 6c'
_cell_length_a 11.1824
_cell_length_b 11.1824
_cell_length_c 5.5304
_cell_angle_alpha 90.00
_cell_angle_beta 90.00
_cell_angle_gamma 120.00
loop_
_atom_site_label
_atom_site_type_symbol
_atom_site_fract_x
_atom_site_fract_y
_atom_site_fract_z
K1 K 0.3333 0.6667 0.2500
In1 In 0.0663 0.6733 0.7500
Bi1 Bi 0.0641 0.3991 0.7500
# **Distance to the lowest polymorph of the same formula**: 0.235 eV per formula unit
# **Energy relative to the elements**: -0.06 eV per atom
# **Calculated total energy**: -3.05 eV/atom
# **Size of the total moment**: 0.000 μB/atom

# K5In2Bi4 PBE optimized geometry
data_K5In2Bi4
_symmetry_space_group_name_H-M 'C 1 2/m 1'
_symmetry_Int_Tables_number 12
_symmetry_space_group_name_Hall '-C 2y'
_cell_length_a 20.806
_cell_length_b 4.694
_cell_length_c 10.907
_cell_angle_alpha 90.00
_cell_angle_beta 100.89
_cell_angle_gamma 90.00
loop_
_atom_site_label
_atom_site_type_symbol
_atom_site_fract_x
_atom_site_fract_y
_atom_site_fract_z
K1 K 0.000 0.000 0.000
K2 K 0.151 0.500 0.479
K3 K 0.171 0.500 0.959
In1 In 0.084 0.000 0.719
Bi1 Bi 0.004 0.500 0.744
Bi2 Bi 0.224 0.000 0.732
# **Energy relative to the elements**: -0.23 eV per atom
# **Calculated total energy**: -2.64 eV/atom
# **Size of the total moment**: 0.000 μB/atom

# KInBi4 PBE optimized geometry
data_KInBi4
_symmetry_space_group_name_H-M 'F -4 3 m'
_symmetry_Int_Tables_number 216
_symmetry_space_group_name_Hall 'F -4 2 3'
_cell_length_a 9.503
_cell_length_b 9.503
_cell_length_c 9.503
_cell_angle_alpha 90.00
_cell_angle_beta 90.00
_cell_angle_gamma 90.00
loop_
_atom_site_label
_atom_site_type_symbol
_atom_site_fract_x
_atom_site_fract_y
_atom_site_fract_z
K1 K 0.000 0.000 0.000
In1 In 0.250 0.250 0.250
Bi1 Bi 0.124 0.124 0.624
# **Energy relative to the elements**: -0.05 eV per atom
# **Calculated total energy**: -3.28 eV/atom
# **Size of the total moment**: 0.000 μB/atom

# KIn3Bi3 PBE optimized geometry
data_KIn3Bi3
_symmetry_space_group_name_H-M 'R -3'
_symmetry_Int_Tables_number 148
_symmetry_space_group_name_Hall '-R 3'
_cell_length_a 8.6652
_cell_length_b 8.6652
_cell_length_c 25.6143
_cell_angle_alpha 90.00
_cell_angle_beta 90.00
_cell_angle_gamma 120.00
loop_
_atom_site_label
_atom_site_type_symbol
_atom_site_fract_x
_atom_site_fract_y
_atom_site_fract_z
K1 K 0.0000 0.0000 0.1668
In1 In 0.0016 0.6568 0.3749
Bi1 Bi 0.0011 0.6777 0.5871
# **Distance to the lowest polymorph of the same formula**: 0.000 eV per formula unit
# **Energy relative to the elements**: -0.09 eV per atom
# **Calculated total energy**: -3.09 eV/atom
# **Size of the total moment**: 0.000 μB/atom

# K3InBi PBE optimized geometry
data_K3InBi
_symmetry_space_group_name_H-M 'I m a 2'
_symmetry_Int_Tables_number 46
_symmetry_space_group_name_Hall 'I 2 -2a'
_cell_length_a 11.855
_cell_length_b 8.205
_cell_length_c 9.798
_cell_angle_alpha 90.00
_cell_angle_beta 90.00
_cell_angle_gamma 90.00
loop_
_atom_site_label
_atom_site_type_symbol
_atom_site_fract_x
_atom_site_fract_y
_atom_site_fract_z
K1 K 0.035 0.236 0.000
K2 K 0.250 0.512 0.778
In1 In 0.250 0.555 0.132
Bi1 Bi 0.250 0.597 0.437
# **Distance to the lowest polymorph of the same formula**: 0.000 eV per formula unit
# **Energy relative to the elements**: -0.16 eV per atom
# **Calculated total energy**: -2.14 eV/atom
# **Size of the total moment**: 0.045 μB/atom

# K3In2Bi4 PBE optimized geometry
data_K3In2Bi4
_symmetry_space_group_name_H-M 'C 1 2/c 1'
_symmetry_Int_Tables_number 15
_symmetry_space_group_name_Hall '-C 2yc'
_cell_length_a 14.030
_cell_length_b 12.665
_cell_length_c 8.842
_cell_angle_alpha 90.00
_cell_angle_beta 107.45
_cell_angle_gamma 90.00
loop_
_atom_site_label
_atom_site_type_symbol
_atom_site_fract_x
_atom_site_fract_y
_atom_site_fract_z
K1 K 0.000 0.103 0.250
K2 K 0.145 0.383 0.571
In1 In 0.191 0.113 0.008
Bi1 Bi 0.126 0.326 0.094
Bi2 Bi 0.173 0.100 0.658
# **Distance to the lowest polymorph of the same formula**: 0.403 eV per formula unit
# **Energy relative to the elements**: -0.22 eV per atom
# **Calculated total energy**: -2.92 eV/atom
# **Size of the total moment**: 0.000 μB/atom

# KInBi4 PBE optimized geometry
data_KInBi4
_symmetry_space_group_name_H-M 'C 1 2/m 1'
_symmetry_Int_Tables_number 12
_symmetry_space_group_name_Hall '-C 2y'
_cell_length_a 5.968
_cell_length_b 5.868
_cell_length_c 12.326
_cell_angle_alpha 90.00
_cell_angle_beta 93.76
_cell_angle_gamma 90.00
loop_
_atom_site_label
_atom_site_type_symbol
_atom_site_fract_x
_atom_site_fract_y
_atom_site_fract_z
K1 K 0.000 0.000 0.000
In1 In 0.000 0.500 0.500
Bi1 Bi 0.031 0.500 0.209
Bi2 Bi 0.055 0.000 0.317
# **Energy relative to the elements**: -0.05 eV per atom
# **Calculated total energy**: -3.28 eV/atom
# **Size of the total moment**: 0.000 μB/atom

# K3InBi2 PBE optimized geometry
data_K3InBi2
_symmetry_space_group_name_H-M 'C 1 2/m 1'
_symmetry_Int_Tables_number 12
_symmetry_space_group_name_Hall '-C 2y'
_cell_length_a 19.453
_cell_length_b 5.379
_cell_length_c 10.151
_cell_angle_alpha 90.00
_cell_angle_beta 101.70
_cell_angle_gamma 90.00
loop_
_atom_site_label
_atom_site_type_symbol
_atom_site_fract_x
_atom_site_fract_y
_atom_site_fract_z
K1 K 0.055 0.000 0.182
K2 K 0.183 0.500 0.068
K3 K 0.191 0.000 0.564
In1 In 0.064 0.500 0.683
Bi1 Bi 0.097 0.500 0.401
Bi2 Bi 0.123 0.000 0.847
# **Energy relative to the elements**: -0.28 eV per atom
# **Calculated total energy**: -2.57 eV/atom
# **Size of the total moment**: 0.000 μB/atom

# KInBi PBE optimized geometry
data_KInBi
_symmetry_space_group_name_H-M 'F -4 3 m'
_symmetry_Int_Tables_number 216
_symmetry_space_group_name_Hall 'F -4 2 3'
_cell_length_a 7.693
_cell_length_b 7.693
_cell_length_c 7.693
_cell_angle_alpha 90.00
_cell_angle_beta 90.00
_cell_angle_gamma 90.00
loop_
_atom_site_label
_atom_site_type_symbol
_atom_site_fract_x
_atom_site_fract_y
_atom_site_fract_z
K1 K 0.000 0.000 0.000
In1 In 0.250 0.250 0.750
Bi1 Bi 0.000 0.000 0.500
# **Energy relative to the elements**: -0.12 eV per atom
# **Calculated total energy**: -2.69 eV/atom
# **Size of the total moment**: 0.000 μB/atom

# KIn3Bi3 PBE optimized geometry
data_KIn3Bi3
_symmetry_space_group_name_H-M 'P m -3 n'
_symmetry_Int_Tables_number 223
_symmetry_space_group_name_Hall '-P 4n 2 3'
_cell_length_a 8.484
_cell_length_b 8.484
_cell_length_c 8.484
_cell_angle_alpha 90.00
_cell_angle_beta 90.00
_cell_angle_gamma 90.00
loop_
_atom_site_label
_atom_site_type_symbol
_atom_site_fract_x
_atom_site_fract_y
_atom_site_fract_z
K1 K 0.000 0.000 0.000
In1 In 0.000 0.250 0.500
Bi1 Bi 0.000 0.500 0.250
# **Distance to the lowest polymorph of the same formula**: 0.466 eV per formula unit
# **Energy relative to the elements**: -0.02 eV per atom
# **Calculated total energy**: -3.02 eV/atom
# **Size of the total moment**: 0.000 μB/atom